Entry from Alexandria via LeMat-Bulk: a relaxed Ce2UTl2S6 crystal (PBE).

Geometry as POSCAR:
```
Ce2UTl2S6
1.0
3.575 -6.163 0.000
3.575 6.163 0.000
-2.399 0.000 7.504
Ce U Tl S
2 1 2 6
direct
0.166 0.834 0.000
0.834 0.166 0.000
0.500 0.500 0.000
0.332 0.668 0.500
0.668 0.332 0.500
0.113 0.437 0.806
0.248 0.248 0.197
0.437 0.113 0.806
0.563 0.887 0.194
0.752 0.752 0.803
0.887 0.563 0.194
```

E_form (uncorrected)   -1404 meV/atom
Uncorrected energy   -68.1 eV for the cell shown
Crystal system   monoclinic
Space group   C2/m (12)

Entry from Alexandria via LeMat-Bulk: a relaxed CeU3Tl3S8 crystal (PBE).

Geometry as POSCAR:
```
CeU3Tl3S8
1.0
4.047 2.337 7.563
-4.047 2.337 7.563
0.000 -4.674 7.563
Ce U Tl S
1 3 3 8
direct
0.000 0.000 0.000
0.000 0.500 0.500
0.500 0.000 0.500
0.500 0.500 0.000
0.000 0.000 0.500
0.000 0.500 0.000
0.500 0.000 0.000
0.236 0.236 0.723
0.236 0.723 0.236
0.269 0.269 0.269
0.277 0.764 0.764
0.723 0.236 0.236
0.731 0.731 0.731
0.764 0.277 0.764
0.764 0.764 0.277
```

E_form (uncorrected)   -1202 meV/atom
Uncorrected energy   -97.9 eV for the cell shown
Crystal system   trigonal
Space group   R-3m (166)

Entry from Alexandria via LeMat-Bulk: a relaxed CeUTl2S4 crystal (PBE).

Geometry as POSCAR:
```
CeUTl2S4
1.0
7.115 0.000 0.000
0.000 4.102 0.000
-2.364 0.000 7.555
Ce U Tl S
1 1 2 4
direct
0.000 0.000 0.000
0.500 0.500 0.000
0.000 0.500 0.500
0.500 0.000 0.500
0.241 0.500 0.200
0.276 0.000 0.804
0.724 0.000 0.196
0.759 0.500 0.800
```

E_form (uncorrected)   -1208 meV/atom
Uncorrected energy   -48.1 eV for the cell shown
Crystal system   monoclinic
Space group   P2/m (10)

Entry from Alexandria via LeMat-Bulk: a relaxed Ce2UTl3S6 crystal (PBE).

Geometry as POSCAR:
```
Ce2UTl3S6
1.0
3.578 -6.195 0.000
3.578 6.195 0.000
-2.385 0.000 7.535
Ce U Tl S
2 1 3 6
direct
0.167 0.833 0.000
0.833 0.167 0.000
0.500 0.500 0.000
0.000 0.000 0.500
0.333 0.667 0.500
0.667 0.333 0.500
0.110 0.434 0.802
0.243 0.243 0.200
0.434 0.110 0.802
0.566 0.890 0.198
0.757 0.757 0.800
0.890 0.566 0.198
```

E_form (uncorrected)   -1274 meV/atom
Uncorrected energy   -70.3 eV for the cell shown
Crystal system   monoclinic
Space group   C2/m (12)

Entry from Alexandria via LeMat-Bulk: a relaxed CeY4TlS8 crystal (PBE).

Geometry as POSCAR:
```
CeY4TlS8
1.0
4.103 2.369 6.870
-4.103 2.369 6.870
0.000 -4.738 6.870
Ce Y Tl S
1 4 1 8
direct
0.000 0.000 0.000
0.000 0.000 0.485
0.000 0.485 0.000
0.485 0.000 0.000
0.622 0.622 0.622
0.369 0.369 0.369
0.227 0.749 0.749
0.229 0.229 0.229
0.234 0.234 0.795
0.234 0.795 0.234
0.749 0.227 0.749
0.749 0.749 0.227
0.754 0.754 0.754
0.795 0.234 0.234
```

E_form (uncorrected)   -1794 meV/atom
Uncorrected energy   -92.3 eV for the cell shown
Crystal system   trigonal
Space group   R3m (160)

Entry from Alexandria via LeMat-Bulk: a relaxed CeY2Tl3S6 crystal (PBE).

Geometry as POSCAR:
```
CeY2Tl3S6
1.0
3.547 -6.141 0.000
3.547 6.141 0.000
-2.363 0.000 7.507
Ce Y Tl S
1 2 3 6
direct
0.000 0.000 0.000
0.333 0.667 0.000
0.667 0.333 0.000
0.166 0.834 0.500
0.500 0.500 0.500
0.834 0.166 0.500
0.066 0.408 0.200
0.275 0.275 0.802
0.408 0.066 0.200
0.592 0.934 0.800
0.725 0.725 0.198
0.934 0.592 0.800
```

E_form (uncorrected)   -1457 meV/atom
Uncorrected energy   -68.2 eV for the cell shown
Crystal system   monoclinic
Space group   C2/m (12)